(1)
Here is PuSb2Pb after structural relaxation from the Alexandria database. Energies are from PBE.

```
PuSb2Pb
1.0
4.728 0.000 0.000
-2.364 4.095 0.000
0.000 0.000 20.300
Pu Sb Pb
3 6 3
Direct
0.000 0.000 0.000
0.333 0.667 0.667
0.667 0.333 0.333
0.000 0.000 0.409
0.000 0.000 0.593
0.333 0.667 0.076
0.333 0.667 0.259
0.667 0.333 0.742
0.667 0.333 0.926
0.000 0.000 0.826
0.333 0.667 0.492
0.667 0.333 0.159
```

space group	R3m, No. 160
energy relative to the lowest polymorph listed for this composition	2.90	kcal/mol of atoms
total DFT energy (no corrections)	-81.01	eV/cell

(2)
Here is PmTlZnF6 after structural relaxation from the Alexandria database. Energies are from PBE.

```
PmTlZnF6
1.0
-3.708 3.912 5.206
3.708 -3.912 5.206
3.708 3.912 -5.206
Pm Tl Zn F
2 2 2 12
Direct
0.000 0.000 0.000
0.500 0.000 0.500
0.333 0.583 0.750
0.667 0.417 0.250
0.000 0.000 0.500
0.000 0.500 0.000
0.056 0.386 0.210
0.056 0.846 0.670
0.094 0.844 0.250
0.324 0.154 0.710
0.324 0.614 0.170
0.365 0.115 0.250
0.635 0.885 0.750
0.676 0.386 0.830
0.676 0.846 0.290
0.906 0.156 0.750
0.944 0.154 0.330
0.944 0.614 0.790
```

space group	Imma, No. 74
total DFT energy (no corrections)	-92.28	eV/cell